# TlSiTe2 | Alexandria | GGA-PBE | relaxed
# VASP energy: -3.42 eV/atom
# DOS at the Fermi energy: 0.2824 states/eV/atom
# Raw formation energy: 0.102 eV per atom
data_TlSiTe2
_symmetry_space_group_name_H-M 'R 3 m'
_symmetry_Int_Tables_number 160
_symmetry_space_group_name_Hall 'R 3 -2"'
_cell_length_a 3.9782
_cell_length_b 3.9782
_cell_length_c 27.1968
_cell_angle_alpha 90.00
_cell_angle_beta 90.00
_cell_angle_gamma 120.00
loop_
_atom_site_label
_atom_site_fract_x
_atom_site_fract_y
_atom_site_fract_z
_atom_site_occupancy
Tl1 0.0000 0.0000 0.0000 1
Si1 0.0000 0.0000 0.7446 1
Te1 0.0000 0.0000 0.2598 1
Te2 0.0000 0.0000 0.4644 1



# TlSi2Te | Alexandria | GGA-PBE | relaxed
# VASP energy: -3.49 eV/atom
# DOS at the Fermi energy: 0.3954 states/eV/atom
# Raw formation energy: 0.598 eV per atom
data_TlSi2Te
_symmetry_space_group_name_H-M 'C m m m'
_symmetry_Int_Tables_number 65
_symmetry_space_group_name_Hall '-C 2 2'
_cell_length_a 6.868
_cell_length_b 7.235
_cell_length_c 3.720
_cell_angle_alpha 90.00
_cell_angle_beta 90.00
_cell_angle_gamma 90.00
loop_
_atom_site_label
_atom_site_fract_x
_atom_site_fract_y
_atom_site_fract_z
_atom_site_occupancy
Tl1 0.000 0.000 0.000 1
Si1 0.250 0.250 0.500 1
Te1 0.000 0.500 0.000 1



# TlSi2Te | Alexandria | GGA-PBE | relaxed
# VASP energy: -3.44 eV/atom
# DOS at the Fermi energy: 0.5527 states/eV/atom
# Raw formation energy: 0.652 eV per atom
data_TlSi2Te
_symmetry_space_group_name_H-M 'F -4 3 m'
_symmetry_Int_Tables_number 216
_symmetry_space_group_name_Hall 'F -4 2 3'
_cell_length_a 7.178
_cell_length_b 7.178
_cell_length_c 7.178
_cell_angle_alpha 90.00
_cell_angle_beta 90.00
_cell_angle_gamma 90.00
loop_
_atom_site_label
_atom_site_fract_x
_atom_site_fract_y
_atom_site_fract_z
_atom_site_occupancy
Tl1 0.000 0.000 0.000 1
Si1 0.000 0.000 0.500 1
Si2 0.250 0.250 0.250 1
Te1 0.250 0.250 0.750 1



Q: The lowest VASP energy belongs to which entry?
A: number 2



Please write out number 1 again, unchanged.
# TlSiTe2 | Alexandria | GGA-PBE | relaxed
# VASP energy: -3.42 eV/atom
# DOS at the Fermi energy: 0.2824 states/eV/atom
# Raw formation energy: 0.102 eV per atom
data_TlSiTe2
_symmetry_space_group_name_H-M 'R 3 m'
_symmetry_Int_Tables_number 160
_symmetry_space_group_name_Hall 'R 3 -2"'
_cell_length_a 3.9782
_cell_length_b 3.9782
_cell_length_c 27.1968
_cell_angle_alpha 90.00
_cell_angle_beta 90.00
_cell_angle_gamma 120.00
loop_
_atom_site_label
_atom_site_fract_x
_atom_site_fract_y
_atom_site_fract_z
_atom_site_occupancy
Tl1 0.0000 0.0000 0.0000 1
Si1 0.0000 0.0000 0.7446 1
Te1 0.0000 0.0000 0.2598 1
Te2 0.0000 0.0000 0.4644 1



Q: What is the formula in the second record?
A: TlSi2Te



Q: Look up the raw formation energy of the third one.
A: 0.652 eV per atom